Computed, not measured: crystalline BP2I at its relaxed geometry at the PBE level of DFT.

Lattice parameters (Å, degrees): 6.033 6.033 5.939 59.47 59.47 90.00
Atoms (fractional coordinates):
P 0.510 0.125 0.250
P 0.875 0.760 0.750
P 0.375 0.490 0.750
P 0.240 0.625 0.250
B 0.500 0.500 0.000
B 0.250 0.750 0.500
I 0.000 0.000 0.000
I 0.750 0.250 0.500

Calculated density   4.4 Mg/m³
Volume   18.8 Å³ per atom
Energy relative to the lowest polymorph listed for this composition   0.00 kcal/mol of atoms
Size of the total moment   0.000 μB per atom